<1>
# LaPmNdIn

LaPmNdIn after structural relaxation (GGA-PBE, the Alexandria database).

a b c (Å): 4.928 4.928 6.218
angles (deg): 113.35 113.35 90.00
Atoms (fractional coordinates):
Nd (0.750, 0.250, 0.500)
In (0.000, 0.000, 0.000)
Pm (0.250, 0.750, 0.500)
La (0.500, 0.500, 0.000)

The space group is I-4m2. Its total magnetization is 0.0 Bohr magnetons per cell.

---

<2>
# LaPmNdIn

LaPmNdIn after structural relaxation (GGA-PBE, the Alexandria database).

a b c (Å): 5.650 5.650 5.650
angles (deg): 60.00 60.00 60.00
Atoms (fractional coordinates):
Pm (0.000, 0.000, 0.000)
In (0.500, 0.500, 0.500)
Nd (0.250, 0.250, 0.250)
La (0.750, 0.750, 0.750)

The space group is F-43m. Its total magnetization is 1.3 Bohr magnetons per cell.

---

If you had to name the least stable structure above, which would it be? It would be <2>.